Material: CdIn6Hg12
Method: DFT, PBE-GGA
State: optimized geometry

The calculation puts the size of the total moment at 0.0 μB/f.u. The value obtained for the distance to the lowest polymorph of the same formula is 0.007 eV per atom. The space group is No. 148. For the formation enthalpy at 0 K, the calculation gives 0.038 eV/atom.

Structure (POSCAR):
```
CdIn6Hg12
1.0
8.0377 0.8889 1.0649
-0.3399 8.0796 1.0649
-0.3399 -0.3960 8.1398
In Cd Hg
6 1 12
Direct
0.6789 0.2388 0.1194
0.3211 0.7612 0.8806
0.1194 0.6789 0.2388
0.2388 0.1194 0.6789
0.8806 0.3211 0.7612
0.7612 0.8806 0.3211
0.0000 0.0000 0.0000
0.6472 0.8544 0.9722
0.4842 0.5576 0.2075
0.0278 0.3528 0.1456
0.4424 0.7925 0.5158
0.5576 0.2075 0.4842
0.8544 0.9722 0.6472
0.2075 0.4842 0.5576
0.5158 0.4424 0.7925
0.7925 0.5158 0.4424
0.1456 0.0278 0.3528
0.3528 0.1456 0.0278
0.9722 0.6472 0.8544
```


Material: Cd3InHg
Method: DFT, PBE-GGA
State: optimized geometry

The calculation puts the size of the total moment at 0.0 μB/f.u. The value obtained for the distance to the lowest polymorph of the same formula is 0.212 eV per atom. The space group is No. 221. For the formation enthalpy at 0 K, the calculation gives 0.242 eV/atom.

Structure (POSCAR):
```
Cd3InHg
1.0
-3.7233 -4.2122 0.0422
3.8757 -3.4475 -2.1683
1.6505 -1.4069 5.1869
In Cd Hg
1 3 1
Direct
0.0000 0.0000 0.0000
0.0000 0.5000 0.0000
0.0000 0.0000 0.5000
0.5000 0.0000 0.0000
0.5000 0.5000 0.5000
```